Density functional theory data (PBE) for crystalline Na5BiPb5 at its relaxed geometry.

Cell lengths 6.2782, 6.2782, 11.2032 Å; angles 90.00, 90.00, 120.00 degrees
Space group P-6m2 (No. 187)
Symmetry-distinct sites (fractional):
Na: 0.0000 0.0000 0.0000 x1
Na: 0.3333 0.6667 0.3034 x2
Na: 0.6667 0.3333 0.1582 x2
Bi: 0.3333 0.6667 0.0000 x1
Pb: 0.0000 0.0000 0.2680 x2
Pb: 0.3373 0.1687 0.5000 x3

Output
- V: 382.4 Å³ per cell
- E_form: -72 meV per atom